The following is a DFT calculation (GGA-PBE) of a relaxed Hf2VCd crystal.

Energy relative to the elements in eV/atom: 0.16
SG: No. 123
Volume in Å³/atom: 19.6
Theoretical density in kg/m³: 11010

```
data_Hf2VCd
_chemical_formula_sum 'Hf2 V1 Cd1'
_space_group_name_H-M_alt 'P 1'
_space_group_IT_number 1
_cell_length_a 4.431
_cell_length_b 4.431
_cell_length_c 3.996
_cell_angle_alpha 90.00
_cell_angle_beta 90.00
_cell_angle_gamma 90.00
loop_
_space_group_symop_operation_xyz
'x,y,z'
loop_
_atom_site_label
_atom_site_type_symbol
_atom_site_fract_x
_atom_site_fract_y
_atom_site_fract_z
Hf1 Hf 0.000 0.500 0.000
Hf2 Hf 0.500 0.000 0.000
V1 V 0.000 0.000 0.500
Cd1 Cd 0.500 0.500 0.500
```



The following is a DFT calculation (GGA-PBE) of a relaxed TmPuSn2 crystal.

Energy relative to the elements in eV/atom: -0.46
SG: No. 123
Volume in Å³/atom: 25.9
Theoretical density in kg/m³: 10411

```
data_TmPuSn2
_chemical_formula_sum 'Tm1 Pu1 Sn2'
_space_group_name_H-M_alt 'P 1'
_space_group_IT_number 1
_cell_length_a 4.829
_cell_length_b 4.829
_cell_length_c 4.448
_cell_angle_alpha 90.00
_cell_angle_beta 90.00
_cell_angle_gamma 90.00
loop_
_space_group_symop_operation_xyz
'x,y,z'
loop_
_atom_site_label
_atom_site_type_symbol
_atom_site_fract_x
_atom_site_fract_y
_atom_site_fract_z
Tm1 Tm 0.000 0.000 0.000
Pu1 Pu 0.500 0.500 0.000
Sn1 Sn 0.000 0.500 0.500
Sn2 Sn 0.500 0.000 0.500
```



The following is a DFT calculation (GGA-PBE) of a relaxed CoNi2Pt8 crystal.

Energy relative to the elements in eV/atom: -0.07
SG: No. 12
Volume in Å³/atom: 14.6
Theoretical density in kg/m³: 17969

```
data_CoNi2Pt8
_chemical_formula_sum 'Co1 Ni2 Pt8'
_space_group_name_H-M_alt 'P 1'
_space_group_IT_number 1
_cell_length_a 7.235
_cell_length_b 7.235
_cell_length_c 6.153
_cell_angle_alpha 105.31
_cell_angle_beta 105.31
_cell_angle_gamma 31.21
loop_
_space_group_symop_operation_xyz
'x,y,z'
loop_
_atom_site_label
_atom_site_type_symbol
_atom_site_fract_x
_atom_site_fract_y
_atom_site_fract_z
Co1 Co 0.000 0.000 0.000
Ni1 Ni 0.274 0.274 0.366
Ni2 Ni 0.726 0.726 0.634
Pt1 Pt 0.097 0.097 0.451
Pt2 Pt 0.181 0.181 0.914
Pt3 Pt 0.362 0.362 0.811
Pt4 Pt 0.454 0.454 0.270
Pt5 Pt 0.546 0.546 0.730
Pt6 Pt 0.638 0.638 0.189
Pt7 Pt 0.819 0.819 0.086
Pt8 Pt 0.903 0.903 0.549
```



The following is a DFT calculation (GGA-PBE) of a relaxed Li2MnRu crystal.

Excess energy over the best structure of this formula in the dataset in meV/atom: 7.6
Energy relative to the elements in eV/atom: 0.19
SG: No. 99
Volume in Å³/atom: 14.6
Theoretical density in kg/m³: 4840

```
data_Li2MnRu
_chemical_formula_sum 'Li2 Mn1 Ru1'
_space_group_name_H-M_alt 'P 1'
_space_group_IT_number 1
_cell_length_a 3.024
_cell_length_b 3.024
_cell_length_c 6.373
_cell_angle_alpha 90.00
_cell_angle_beta 90.00
_cell_angle_gamma 90.00
loop_
_space_group_symop_operation_xyz
'x,y,z'
loop_
_atom_site_label
_atom_site_type_symbol
_atom_site_fract_x
_atom_site_fract_y
_atom_site_fract_z
Li1 Li 0.000 0.000 0.000
Li2 Li 0.500 0.500 0.271
Mn1 Mn 0.000 0.000 0.550
Ru1 Ru 0.500 0.500 0.744
```



The following is a DFT calculation (GGA-PBE) of a relaxed HfVCd crystal.

Excess energy over the best structure of this formula in the dataset in meV/atom: 190.0
Energy relative to the elements in eV/atom: 0.19
SG: No. 107
Volume in Å³/atom: 19.4
Theoretical density in kg/m³: 9762

```
data_HfVCd
_chemical_formula_sum 'Hf1 V1 Cd1'
_space_group_name_H-M_alt 'P 1'
_space_group_IT_number 1
_cell_length_a 5.938
_cell_length_b 5.938
_cell_length_c 5.938
_cell_angle_alpha 148.13
_cell_angle_beta 148.13
_cell_angle_gamma 45.69
loop_
_space_group_symop_operation_xyz
'x,y,z'
loop_
_atom_site_label
_atom_site_type_symbol
_atom_site_fract_x
_atom_site_fract_y
_atom_site_fract_z
Hf1 Hf 0.000 0.000 0.000
V1 V 0.353 0.353 0.000
Cd1 Cd 0.693 0.693 0.000
```



The following is a DFT calculation (GGA-PBE) of a relaxed GdLuAu crystal.

Excess energy over the best structure of this formula in the dataset in meV/atom: 0.0
Energy relative to the elements in eV/atom: -0.56
SG: No. 107
Volume in Å³/atom: 25.9
Theoretical density in kg/m³: 11312

```
data_GdLuAu
_chemical_formula_sum 'Gd1 Lu1 Au1'
_space_group_name_H-M_alt 'P 1'
_space_group_IT_number 1
_cell_length_a 6.598
_cell_length_b 6.598
_cell_length_c 6.598
_cell_angle_alpha 148.61
_cell_angle_beta 148.61
_cell_angle_gamma 44.99
loop_
_space_group_symop_operation_xyz
'x,y,z'
loop_
_atom_site_label
_atom_site_type_symbol
_atom_site_fract_x
_atom_site_fract_y
_atom_site_fract_z
Gd1 Gd 0.000 0.000 0.000
Lu1 Lu 0.708 0.708 0.000
Au1 Au 0.338 0.338 0.000
```



The following is a DFT calculation (GGA-PBE) of a relaxed PuNpZnGe crystal.

Energy relative to the elements in eV/atom: -0.08
SG: No. 216
Volume in Å³/atom: 22.2
Theoretical density in kg/m³: 11552

```
data_PuNpZnGe
_chemical_formula_sum 'Pu1 Np1 Zn1 Ge1'
_space_group_name_H-M_alt 'P 1'
_space_group_IT_number 1
_cell_length_a 5.011
_cell_length_b 5.011
_cell_length_c 5.011
_cell_angle_alpha 60.00
_cell_angle_beta 60.00
_cell_angle_gamma 60.00
loop_
_space_group_symop_operation_xyz
'x,y,z'
loop_
_atom_site_label
_atom_site_type_symbol
_atom_site_fract_x
_atom_site_fract_y
_atom_site_fract_z
Pu1 Pu 0.000 0.000 0.000
Np1 Np 0.500 0.500 0.500
Zn1 Zn 0.750 0.750 0.750
Ge1 Ge 0.250 0.250 0.250
```



The following is a DFT calculation (GGA-PBE) of a relaxed BeInCl2 crystal.

Formation energy (no corrections) in eV/atom: -0.19
Excess energy over the best structure of this formula in the dataset in meV/atom: 552.9
SG: No. 99
Volume in Å³/atom: 21.2
Theoretical density in kg/m³: 3808

```
data_BeInCl2
_chemical_formula_sum 'Be1 In1 Cl2'
_space_group_name_H-M_alt 'P 1'
_space_group_IT_number 1
_cell_length_a 3.190
_cell_length_b 3.190
_cell_length_c 8.345
_cell_angle_alpha 90.00
_cell_angle_beta 90.00
_cell_angle_gamma 90.00
loop_
_space_group_symop_operation_xyz
'x,y,z'
loop_
_atom_site_label
_atom_site_type_symbol
_atom_site_fract_x
_atom_site_fract_y
_atom_site_fract_z
Be1 Be 0.000 0.000 0.000
In1 In 0.500 0.500 0.741
Cl1 Cl 0.000 0.000 0.524
Cl2 Cl 0.500 0.500 0.127
```



The following is a DFT calculation (GGA-PBE) of a relaxed YNb2HgW crystal.

Energy relative to the elements in eV/atom: 1.03
SG: No. 123
Volume in Å³/atom: 26.1
Theoretical density in kg/m³: 8387

```
data_YNb2HgW
_chemical_formula_sum 'Y1 Nb2 Hg1 W1'
_space_group_name_H-M_alt 'P 1'
_space_group_IT_number 1
_cell_length_a 4.861
_cell_length_b 4.861
_cell_length_c 5.523
_cell_angle_alpha 90.00
_cell_angle_beta 90.00
_cell_angle_gamma 90.00
loop_
_space_group_symop_operation_xyz
'x,y,z'
loop_
_atom_site_label
_atom_site_type_symbol
_atom_site_fract_x
_atom_site_fract_y
_atom_site_fract_z
Y1 Y 0.000 0.000 0.000
Nb1 Nb 0.000 0.500 0.500
Nb2 Nb 0.500 0.000 0.500
Hg1 Hg 0.500 0.500 0.000
W1 W 0.000 0.000 0.500
```



The following is a DFT calculation (GGA-PBE) of a relaxed Sr2RhW crystal.

Excess energy over the best structure of this formula in the dataset in meV/atom: 614.0
Energy relative to the elements in eV/atom: 1.01
SG: No. 216
Volume in Å³/atom: 23.0
Theoretical density in kg/m³: 8333

```
data_Sr2RhW
_chemical_formula_sum 'Sr2 Rh1 W1'
_space_group_name_H-M_alt 'P 1'
_space_group_IT_number 1
_cell_length_a 5.068
_cell_length_b 5.068
_cell_length_c 5.068
_cell_angle_alpha 60.00
_cell_angle_beta 60.00
_cell_angle_gamma 60.00
loop_
_space_group_symop_operation_xyz
'x,y,z'
loop_
_atom_site_label
_atom_site_type_symbol
_atom_site_fract_x
_atom_site_fract_y
_atom_site_fract_z
Sr1 Sr 0.000 0.000 0.000
Sr2 Sr 0.250 0.250 0.250
Rh1 Rh 0.750 0.750 0.750
W1 W 0.500 0.500 0.500
```



The following is a DFT calculation (GGA-PBE) of a relaxed Li2DyAgHg4 crystal.

Energy relative to the elements in eV/atom: -0.29
SG: No. 166
Volume in Å³/atom: 21.3
Theoretical density in kg/m³: 10575

```
data_Li2DyAgHg4
_chemical_formula_sum 'Li2 Dy1 Ag1 Hg4'
_space_group_name_H-M_alt 'P 1'
_space_group_IT_number 1
_cell_length_a 9.184
_cell_length_b 9.184
_cell_length_c 9.184
_cell_angle_alpha 29.91
_cell_angle_beta 29.91
_cell_angle_gamma 29.91
loop_
_space_group_symop_operation_xyz
'x,y,z'
loop_
_atom_site_label
_atom_site_type_symbol
_atom_site_fract_x
_atom_site_fract_y
_atom_site_fract_z
Li1 Li 0.235 0.235 0.235
Li2 Li 0.765 0.765 0.765
Dy1 Dy 0.000 0.000 0.000
Ag1 Ag 0.500 0.500 0.500
Hg1 Hg 0.122 0.122 0.122
Hg2 Hg 0.388 0.388 0.388
Hg3 Hg 0.612 0.612 0.612
Hg4 Hg 0.878 0.878 0.878
```



The following is a DFT calculation (GGA-PBE) of a relaxed V2ZnCo crystal.

Energy relative to the elements in eV/atom: 0.32
SG: No. 122
Volume in Å³/atom: 13.7
Theoretical density in kg/m³: 6844

```
data_V2ZnCo
_chemical_formula_sum 'V4 Zn2 Co2'
_space_group_name_H-M_alt 'P 1'
_space_group_IT_number 1
_cell_length_a 5.338
_cell_length_b 5.338
_cell_length_c 5.338
_cell_angle_alpha 101.97
_cell_angle_beta 101.97
_cell_angle_gamma 125.82
loop_
_space_group_symop_operation_xyz
'x,y,z'
loop_
_atom_site_label
_atom_site_type_symbol
_atom_site_fract_x
_atom_site_fract_y
_atom_site_fract_z
V1 V 0.084 0.625 0.959
V2 V 0.375 0.334 0.459
V3 V 0.666 0.125 0.041
V4 V 0.875 0.916 0.541
Zn1 Zn 0.250 0.750 0.500
Zn2 Zn 0.500 0.500 0.000
Co1 Co 0.000 0.000 0.000
Co2 Co 0.750 0.250 0.500
```



The following is a DFT calculation (GGA-PBE) of a relaxed SmScHgOs crystal.

Energy relative to the elements in eV/atom: -0.20
SG: No. 216
Volume in Å³/atom: 21.4
Theoretical density in kg/m³: 11382

```
data_SmScHgOs
_chemical_formula_sum 'Sm1 Sc1 Hg1 Os1'
_space_group_name_H-M_alt 'P 1'
_space_group_IT_number 1
_cell_length_a 4.945
_cell_length_b 4.945
_cell_length_c 4.945
_cell_angle_alpha 60.00
_cell_angle_beta 60.00
_cell_angle_gamma 60.00
loop_
_space_group_symop_operation_xyz
'x,y,z'
loop_
_atom_site_label
_atom_site_type_symbol
_atom_site_fract_x
_atom_site_fract_y
_atom_site_fract_z
Sm1 Sm 0.000 0.000 0.000
Sc1 Sc 0.500 0.500 0.500
Hg1 Hg 0.250 0.250 0.250
Os1 Os 0.750 0.750 0.750
```